# 1
The following is a DFT calculation (SCAN) of a crystal of ScHg2Ru relaxed with PBEsol.

Cell: 4.1034 4.1129 8.3946 Å, 90.00 90.00 90.00°
Space group Imm2 (No. 44)
Asymmetric unit:
Sc 0.0000 0.0000 0.0000 (multiplicity 2)
Hg 0.0000 0.0000 0.5005 (multiplicity 2)
Hg 0.0000 0.5000 0.7504 (multiplicity 2)
Ru 0.0000 0.5000 0.2508 (multiplicity 2)

Summary:
V (A^3/atom): 17.709
Relative energy among the computed polymorphs (eV/atom): 0.000
Final energy (eV/f.u.): -186.04
Crystal system: orthorhombic
Density (g/cm³): 12.8
Energy of formation (kJ/mol of atoms): -15.57

=====

# 2
The following is a DFT calculation (SCAN) of a crystal of MnCuCl2 relaxed with PBEsol.

Cell: 3.1685 3.1685 6.8991 Å, 90.00 90.00 90.00°
Space group P4mm (No. 99)
Asymmetric unit:
Mn 0.0000 0.0000 0.0000 (multiplicity 1)
Cu 0.5000 0.5000 0.7916 (multiplicity 1)
Cl 0.0000 0.0000 0.6335 (multiplicity 1)
Cl 0.5000 0.5000 0.2060 (multiplicity 1)

Summary:
V (A^3/atom): 17.315
Relative energy among the computed polymorphs (eV/atom): 0.000
Final energy (eV/f.u.): -51.44
Crystal system: tetragonal
ΔE_f (raw) (eV/atom): -0.508
Density (g/cm³): 4.5

=====

# 3
The following is a DFT calculation (SCAN) of a crystal of YZn2Rh relaxed with PBEsol.

Cell: 4.0523 4.0523 8.0460 Å, 90.00 90.00 90.00°
Space group I4/mmm (No. 139)
Asymmetric unit:
Y 0.0000 0.0000 0.0000 (multiplicity 2)
Zn 0.0000 0.5000 0.2500 (multiplicity 4)
Rh 0.0000 0.0000 0.5000 (multiplicity 2)

Summary:
V (A^3/atom): 16.516
Final energy (eV/f.u.): -90.81
Crystal system: tetragonal
Density (g/cm³): 8.1
Energy of formation (kJ/mol of atoms): -52.31

=====

# 4
The following is a DFT calculation (SCAN) of a crystal of YIn relaxed with PBEsol.

Cell: 4.4352 4.4352 10.5086 Å, 90.00 90.00 90.00°
Space group I4_1/amd (No. 141, origin choice 2)
Asymmetric unit:
Y 0.0000 0.2500 0.3750 (multiplicity 4)
In 0.0000 0.2500 0.8750 (multiplicity 4)

Summary:
V (A^3/atom): 25.840
Final energy (eV/f.u.): -62.33
Crystal system: tetragonal
Density (g/cm³): 6.5
Energy of formation (kJ/mol of atoms): -53.01

=====

# 5
The following is a DFT calculation (SCAN) of a crystal of RbZnSiIr2 relaxed with PBEsol.

Cell: 4.4707 4.4707 5.6270 Å, 90.00 90.00 90.00°
Space group P4/mmm (No. 123)
Asymmetric unit:
Rb 0.0000 0.0000 0.0000 (multiplicity 1)
Zn 0.5000 0.5000 0.0000 (multiplicity 1)
Si 0.0000 0.0000 0.5000 (multiplicity 1)
Ir 0.0000 0.5000 0.5000 (multiplicity 2)

Summary:
V (A^3/atom): 22.494
Final energy (eV/f.u.): -182.06
Crystal system: tetragonal
ΔE_f (raw) (eV/atom): 0.881
Density (g/cm³): 8.3

=====

# 6
The following is a DFT calculation (SCAN) of a crystal of Li3HgAu relaxed with PBEsol.

Cell: 4.7637 4.7637 4.7637 Å, 90.00 90.00 90.00°
Space group Pm-3m (No. 221)
Asymmetric unit:
Li 0.0000 0.0000 0.5000 (multiplicity 3)
Hg 0.5000 0.5000 0.5000 (multiplicity 1)
Au 0.0000 0.0000 0.0000 (multiplicity 1)

Summary:
V (A^3/atom): 21.620
Relative energy among the computed polymorphs (eV/atom): 0.000
Final energy (eV/f.u.): -145.67
Crystal system: cubic
Density (g/cm³): 6.4
Energy of formation (kJ/mol of atoms): -22.79